# 1
# SrMn2Hg | Alexandria via LeMat-Bulk | GGA-PBE | optimized geometry
# - DOS at the Fermi energy: 3.3 states/eV per cell
# - Energy relative to the elements: 0.514 eV per atom
data_SrMn2Hg
_chemical_formula_sum 'Sr1 Mn2 Hg1'
_cell_length_a 4.521
_cell_length_b 4.521
_cell_length_c 4.632
_cell_angle_alpha 90.00
_cell_angle_beta 90.00
_cell_angle_gamma 90.00
_space_group_name_H-M_alt 'P 4/m m m'
_space_group_IT_number 123
_space_group_name_Hall '-P 4 2'
loop_
_atom_site_label
_atom_site_type_symbol
_atom_site_fract_x
_atom_site_fract_y
_atom_site_fract_z
Sr1 Sr 0.000 0.000 0.000
Mn1 Mn 0.000 0.500 0.500
Hg1 Hg 0.500 0.500 0.000

***

# 2
# SrMn2Hg | Alexandria via LeMat-Bulk | GGA-PBE | optimized geometry
# - DOS at the Fermi energy: 7.2 states/eV per cell
# - Energy relative to the elements: 0.495 eV per atom
data_SrMn2Hg
_chemical_formula_sum 'Sr2 Mn4 Hg2'
_cell_length_a 3.573
_cell_length_b 5.248
_cell_length_c 10.206
_cell_angle_alpha 90.00
_cell_angle_beta 90.00
_cell_angle_gamma 90.00
_space_group_name_H-M_alt 'I m m m'
_space_group_IT_number 71
_space_group_name_Hall '-I 2 2'
loop_
_atom_site_label
_atom_site_type_symbol
_atom_site_fract_x
_atom_site_fract_y
_atom_site_fract_z
Sr1 Sr 0.000 0.000 0.000
Mn1 Mn 0.000 0.500 0.218
Hg1 Hg 0.000 0.000 0.500

***

# 3
# SrMn2Hg | Alexandria via LeMat-Bulk | GGA-PBE | optimized geometry
# - DOS at the Fermi energy: 5.7 states/eV per cell
# - Energy relative to the elements: 0.155 eV per atom
data_SrMn2Hg
_chemical_formula_sum 'Sr3 Mn6 Hg3'
_cell_length_a 4.5300
_cell_length_b 4.5300
_cell_length_c 16.8017
_cell_angle_alpha 90.00
_cell_angle_beta 90.00
_cell_angle_gamma 120.00
_space_group_name_H-M_alt 'R 3 m'
_space_group_IT_number 160
_space_group_name_Hall 'R 3 -2"'
loop_
_atom_site_label
_atom_site_type_symbol
_atom_site_fract_x
_atom_site_fract_y
_atom_site_fract_z
Sr1 Sr 0.0000 0.0000 0.0000
Mn1 Mn 0.0000 0.0000 0.1927
Mn2 Mn 0.0000 0.0000 0.5155
Hg1 Hg 0.0000 0.0000 0.8023

***

# 4
# SrMnHg3 | Alexandria via LeMat-Bulk | GGA-PBE | optimized geometry
# - DOS at the Fermi energy: 5.4 states/eV per cell
# - Energy relative to the elements: 0.749 eV per atom
# - Energy above the most stable polymorph in this dataset: 755.4 meV per atom
data_SrMnHg3
_chemical_formula_sum 'Sr1 Mn1 Hg3'
_cell_length_a 6.165
_cell_length_b 6.165
_cell_length_c 6.165
_cell_angle_alpha 90.00
_cell_angle_beta 90.00
_cell_angle_gamma 90.00
_space_group_name_H-M_alt 'P m -3 m'
_space_group_IT_number 221
_space_group_name_Hall '-P 4 2 3'
loop_
_atom_site_label
_atom_site_type_symbol
_atom_site_fract_x
_atom_site_fract_y
_atom_site_fract_z
Sr1 Sr 0.000 0.000 0.000
Mn1 Mn 0.500 0.500 0.500
Hg1 Hg 0.000 0.000 0.500

***

# 5
# SrMnHg2 | Alexandria via LeMat-Bulk | GGA-PBE | optimized geometry
# - DOS at the Fermi energy: 9.6 states/eV per cell
# - Energy relative to the elements: -0.077 eV per atom
data_SrMnHg2
_chemical_formula_sum 'Sr3 Mn3 Hg6'
_cell_length_a 4.7659
_cell_length_b 4.7659
_cell_length_c 16.3756
_cell_angle_alpha 90.00
_cell_angle_beta 90.00
_cell_angle_gamma 120.00
_space_group_name_H-M_alt 'R -3 m'
_space_group_IT_number 166
_space_group_name_Hall '-R 3 2"'
loop_
_atom_site_label
_atom_site_type_symbol
_atom_site_fract_x
_atom_site_fract_y
_atom_site_fract_z
Sr1 Sr 0.0000 0.0000 0.0000
Mn1 Mn 0.0000 0.0000 0.5000
Hg1 Hg 0.0000 0.0000 0.2123

***

# 6
# SrMn2Hg | Alexandria via LeMat-Bulk | GGA-PBE | optimized geometry
# - DOS at the Fermi energy: 8.2 states/eV per cell
# - Energy relative to the elements: 0.354 eV per atom
data_SrMn2Hg
_chemical_formula_sum 'Sr2 Mn4 Hg2'
_cell_length_a 8.069
_cell_length_b 4.672
_cell_length_c 6.119
_cell_angle_alpha 90.00
_cell_angle_beta 116.31
_cell_angle_gamma 90.00
_space_group_name_H-M_alt 'C 1 2/m 1'
_space_group_IT_number 12
loop_
_space_group_symop_operation_xyz
'x,y,z'
'-x,-y,-z'
'-x,y,-z'
'x,-y,z'
'x+1/2,y+1/2,z'
'-x+1/2,-y+1/2,-z'
'-x+1/2,y+1/2,-z'
'x+1/2,-y+1/2,z'
loop_
_atom_site_label
_atom_site_type_symbol
_atom_site_fract_x
_atom_site_fract_y
_atom_site_fract_z
Sr1 Sr 0.000 0.000 0.000
Mn1 Mn 0.201 0.000 0.602
Hg1 Hg 0.000 0.500 0.500

***

- The lowest DOS at the Fermi energy belongs to which entry?
  number 1